# 1
Compound: LiTlFe2Cl8
Source: the Alexandria database
Functional: PBE
Structure: relaxed

Cell: 10.7577 7.2944 9.2811 Å, 90.00 94.45 90.00°
Space group C2/m (No. 12)
Unique sites:
1 Li 0.0000 0.0000 0.0000
2 Tl 0.0000 0.0000 0.5000
3 Fe 0.1227 0.5000 0.7835
4 Cl 0.0019 0.2518 0.7924
5 Cl 0.2029 0.5000 0.5727
6 Cl 0.2393 0.0000 0.0300

Calculated values
- Magnetic moment: 20.00 μB/cell
- Formation energy without anion corrections: -1.006 eV per atom

---

# 2
Compound: Al2AuBr
Source: the Alexandria database
Functional: PBE
Structure: relaxed

Cell: 3.5937 6.0385 8.1918 Å, 90.00 90.00 90.00°
Space group Immm (No. 71)
Unique sites:
1 Al 0.0000 0.0000 0.2293
2 Au 0.0000 0.5000 0.5000
3 Br 0.0000 0.5000 0.0000

Calculated values
- Magnetic moment: 0.00 μB/cell
- Formation energy without anion corrections: 0.046 eV per atom
- Energy above the most stable polymorph in this dataset: 0.401 eV/atom

---

# 3
Compound: Mn2CrTc
Source: the Alexandria database
Functional: PBE
Structure: relaxed

Cell: 2.5499 4.0372 4.9027 Å, 90.00 101.86 90.00°
Space group P2/m (No. 10)
Unique sites:
1 Mn 0.2059 0.0000 0.2610
2 Cr 0.0000 0.5000 0.5000
3 Tc 0.5000 0.5000 0.0000

Calculated values
- E_form: 0.40 eV/f.u.
- Magnetic moment: 2.71 μB/cell
- Energy above the most stable polymorph in this dataset: 0.014 eV/atom

---

Number 1: total DFT energy (no corrections) -4.00 eV/atom. Number 2: total DFT energy (no corrections) -3.06 eV/atom. Number 3: total DFT energy (no corrections) -9.48 eV/atom.